## one
The following is a DFT calculation (PBE) of an optimized crystal structure of Ac2ReP.

Cell and atoms, written as POSCAR:
```
Ac2ReP
1.0
4.036 0.000 0.000
2.018 3.496 0.000
2.018 1.165 9.268
Re Ac P
1 2 1
Cartesian
0.000 0.000 0.000
2.018 1.165 6.512
6.055 3.496 2.756
4.036 2.330 4.634
```

***

## two
The following is a DFT calculation (PBE) of an optimized crystal structure of Ac2ReP.

Cell and atoms, written as POSCAR:
```
Ac2ReP
1.0
3.869 0.000 0.000
0.000 5.222 0.000
0.000 0.000 5.222
Re Ac P
1 2 1
Cartesian
1.935 2.611 2.611
0.000 0.000 2.611
0.000 2.611 0.000
1.935 0.000 0.000
```

***

Which structure is the most stable? The one labeled two.

***

## one
The following is a DFT calculation (PBE) of an optimized crystal structure of Ac2PRh.

Cell and atoms, written as POSCAR:
```
Ac2PRh
1.0
5.297 0.000 0.000
2.648 4.587 0.000
2.648 1.529 4.325
P Ac Rh
1 2 1
Cartesian
0.000 0.000 0.000
2.648 1.529 1.081
7.945 4.587 3.244
5.297 3.058 2.162
```

***

## two
The following is a DFT calculation (PBE) of an optimized crystal structure of Ac2PRh.

Cell and atoms, written as POSCAR:
```
Ac2PRh
1.0
4.372 0.000 0.000
2.186 3.787 0.000
2.186 1.262 7.216
P Ac Rh
1 2 1
Cartesian
4.372 2.524 3.608
6.559 3.787 5.457
2.186 1.262 1.759
0.000 0.000 0.000
```

***

Which structure is the most stable? The one labeled two.

***

## one
The following is a DFT calculation (PBE) of an optimized crystal structure of Ac2PRh.

Cell and atoms, written as POSCAR:
```
Ac2PRh
1.0
-4.366 0.376 0.612
-0.119 -3.966 1.586
2.012 6.404 10.412
Ac P Rh
4 2 2
Cartesian
-2.620 -0.084 5.351
0.147 2.897 7.258
-1.631 2.154 11.024
-0.842 0.659 1.586
-0.352 1.769 4.399
-2.122 1.044 8.210
0.698 4.147 10.426
-3.172 -1.334 2.183
```

***

## two
The following is a DFT calculation (PBE) of an optimized crystal structure of Ac2PRh.

Cell and atoms, written as POSCAR:
```
Ac2PRh
1.0
3.784 0.000 0.000
0.000 5.259 0.000
0.000 0.000 5.259
P Ac Rh
1 2 1
Cartesian
1.892 0.000 0.000
0.000 0.000 2.629
0.000 2.629 0.000
1.892 2.629 2.629
```

***

Which structure is the most stable? The one labeled one.

***

## one
The following is a DFT calculation (PBE) of an optimized crystal structure of AcP2Rh.

Cell and atoms, written as POSCAR:
```
AcP2Rh
1.0
4.017 0.000 0.000
2.009 3.479 0.000
2.009 1.160 7.212
P Ac Rh
2 1 1
Cartesian
2.009 1.160 4.253
6.026 3.479 2.959
0.000 0.000 0.000
4.017 2.319 3.606
```

***

## two
The following is a DFT calculation (PBE) of an optimized crystal structure of AcP2Rh.

Cell and atoms, written as POSCAR:
```
AcP2Rh
1.0
4.239 0.001 0.001
-0.001 4.239 -0.001
-2.120 -2.120 4.743
Ac P Rh
1 2 1
Cartesian
0.453 3.253 1.082
2.574 1.133 2.246
0.454 -0.988 4.661
0.453 1.133 3.454
```

***

Which structure is the most stable? The one labeled two.